A plane-wave DFT calculation with GGA-PBE was carried out for a geometry-optimized AcTbEr2 structure.

a b c (Å): 5.230 3.696 10.636
angles (deg): 69.66 75.77 45.04
Sites, in units of the cell vectors:
Er 0.000 0.263 0.736
Er 0.000 0.737 0.264
Tb 0.500 0.500 0.500
Ac 0.500 0.000 0.000

Results
Formation energy from the elements (eV/f.u.): 0.2
Symmetry: P4/mmm
Crystal system: tetragonal

=====

A plane-wave DFT calculation with GGA-PBE was carried out for a geometry-optimized K2CdSe2O6 structure.

a b c (Å): 6.008 5.528 7.329
angles (deg): 108.73 90.00 122.92
Sites, in units of the cell vectors:
Se 0.913 0.825 0.756
Se 0.087 0.175 0.244
O 0.240 0.480 0.466
O 0.742 0.944 0.244
O 0.798 0.056 0.756
O 0.202 0.944 0.244
O 0.760 0.520 0.534
O 0.258 0.056 0.756
Cd 0.500 0.000 0.500
K 0.302 0.604 0.855
K 0.698 0.396 0.145

Results
Symmetry: C2/m
Crystal system: monoclinic
Formation energy from raw total energies (eV/atom): -1.210

=====

A plane-wave DFT calculation with GGA-PBE was carried out for a geometry-optimized AlInTe2 structure.

a b c (Å): 3.156 3.156 11.514
angles (deg): 90.00 90.00 106.99
Sites, in units of the cell vectors:
Te 0.000 0.000 0.022
Te 0.000 0.000 0.478
Al 0.500 0.500 0.250
In 0.500 0.500 0.750

Results
Symmetry: Cmmm
Crystal system: orthorhombic
Formation energy from raw total energies (eV/atom): 0.142

=====

A plane-wave DFT calculation with GGA-PBE was carried out for a geometry-optimized HgPtSe2 structure.

a b c (Å): 5.064 5.064 6.409
angles (deg): 75.39 75.39 42.93
Sites, in units of the cell vectors:
Se 0.893 0.893 0.036
Se 0.607 0.607 0.464
Hg 0.750 0.750 0.750
Pt 0.250 0.250 0.250

Results
Symmetry: C2/m
Crystal system: monoclinic
Formation energy from raw total energies (eV/atom): -0.258